1.
The following is a DFT calculation (GGA-PBE) of a relaxed structure of YAgSeO.

abc: 6.9956 6.5068 6.2895
angles: 90.00 95.04 90.00
Space group P2_1/c (No. 14)
One atom of each set of equivalent atoms:
Y1 0.0923 0.0467 0.2563
Ag1 0.4156 0.7085 0.4997
Se1 0.3181 0.0727 0.6959
O1 0.0414 0.7228 0.5219

Results
E_tot   -24.5 eV/f.u.
Theoretical density   6.79 Mg/m³

***

2.
The following is a DFT calculation (GGA-PBE) of a relaxed structure of YAgSeO.

abc: 5.7436 5.7437 11.1919
angles: 90.00 92.08 90.00
Space group P2_1 (No. 4)
One atom of each set of equivalent atoms:
Y1 0.0050 0.9996 0.0928
Y2 0.4940 0.0000 0.9065
Ag1 0.1903 0.2746 0.4964
Ag2 0.4989 0.0198 0.2904
Se1 0.1938 0.3207 0.2763
Se2 0.1977 0.2194 0.7162
O1 0.2498 0.7491 0.0002
O2 0.2522 0.2481 0.9991

Results
E_tot   -25.2 eV/f.u.
Theoretical density   5.25 Mg/m³

***

3.
The following is a DFT calculation (GGA-PBE) of a relaxed structure of YAgSeO.

abc: 4.2967 6.5413 6.5405
angles: 90.00 90.00 90.00
Space group Pmc2_1 (No. 26)
One atom of each set of equivalent atoms:
Y1 0.0000 0.1571 0.0000
Ag1 0.5000 0.2616 0.5868
Se1 0.5000 0.3452 0.1933
O1 0.0000 0.1131 0.6780

Results
E_tot   -24.0 eV/f.u.
Theoretical density   5.27 Mg/m³

***

4.
The following is a DFT calculation (GGA-PBE) of a relaxed structure of SiAgO3.

abc: 3.3196 3.3196 4.6377
angles: 90.00 90.00 90.00
Space group P4mm (No. 99)
One atom of each set of equivalent atoms:
Si1 0.0000 0.0000 0.0000
Ag1 0.5000 0.5000 0.5380
O1 0.0000 0.0000 0.6361
O2 0.0000 0.5000 0.0936

Results
E_tot   -30.0 eV/f.u.
Theoretical density   5.98 Mg/m³

***

5.
The following is a DFT calculation (GGA-PBE) of a relaxed structure of Si2Ag2O5.

abc: 3.1969 3.1969 9.9950
angles: 90.00 90.00 90.00
Space group P4/mmm (No. 123)
One atom of each set of equivalent atoms:
Si1 0.0000 0.0000 0.0000
Si2 0.0000 0.0000 0.5000
Ag1 0.5000 0.5000 0.2223
O1 0.0000 0.5000 0.3913
O2 0.5000 0.5000 0.0000

Results
E_tot   -44.1 eV/f.u.
Theoretical density   5.72 Mg/m³

***

6.
The following is a DFT calculation (GGA-PBE) of a relaxed structure of Si2Ag2O5.

abc: 3.4423 3.4423 7.9718
angles: 90.00 90.00 90.00
Space group P4/mmm (No. 123)
One atom of each set of equivalent atoms:
Si1 0.0000 0.0000 0.2174
Ag1 0.5000 0.5000 0.0000
Ag2 0.5000 0.5000 0.5000
O1 0.0000 0.0000 0.0000
O2 0.0000 0.5000 0.2630

Results
E_tot   -53.9 eV/f.u.
Theoretical density   6.19 Mg/m³

***

7.
The following is a DFT calculation (GGA-PBE) of a relaxed structure of SiAgO3.

abc: 10.1823 9.3363 5.3737
angles: 90.00 109.84 90.00
Space group C2/c (No. 15)
One atom of each set of equivalent atoms:
Si1 0.2071 0.0818 0.2451
Ag1 0.0000 0.2177 0.7500
Ag2 0.0000 0.3895 0.2500
O1 0.1211 0.4229 0.6509
O2 0.1470 0.2403 0.1526
O3 0.1495 0.0225 0.4797

Results
E_tot   -30.8 eV/f.u.
Theoretical density   5.09 Mg/m³

***

8.
The following is a DFT calculation (GGA-PBE) of a relaxed structure of SiAgO3.

abc: 5.0682 5.0682 12.3860
angles: 90.00 90.00 120.00
Space group R-3c (No. 167, hexagonal axes)
One atom of each set of equivalent atoms:
Si1 0.0000 0.0000 0.0000
Ag1 0.0000 0.0000 0.2500
O1 0.0000 0.4501 0.2500

Results
E_tot   -29.3 eV/f.u.
Theoretical density   6.65 Mg/m³